Density functional theory data (PBE) for Tm3AlFe3 after structural relaxation.

Calculated values
formation energy = -1.3 eV per formula unit
space-group type = Cmcm (63)
E_tot = -0.2302 hartree per atom

```
data_Tm3AlFe3
_cell_length_a 4.1286
_cell_length_b 5.4047
_cell_length_c 12.6232
_cell_angle_alpha 90.00
_cell_angle_beta 90.00
_cell_angle_gamma 112.45
_symmetry_space_group_name_H-M 'P 1'
_symmetry_Int_Tables_number 1
_symmetry_space_group_name_Hall 'P 1'
loop_
_atom_site_label
_atom_site_fract_x
_atom_site_fract_y
_atom_site_fract_z
_atom_site_occupancy
Tm1 0.4998 0.9997 0.2500 1
Tm2 0.7884 0.5768 0.3949 1
Tm3 0.7884 0.5768 0.1051 1
Tm4 0.2116 0.4232 0.8949 1
Tm5 0.5002 0.0003 0.7500 1
Tm6 0.2116 0.4232 0.6051 1
Fe1 0.9221 0.8443 0.5947 1
Fe2 0.9221 0.8443 0.9053 1
Fe3 0.0779 0.1557 0.4053 1
Fe4 0.1917 0.3833 0.2500 1
Fe5 0.0779 0.1557 0.0947 1
Fe6 0.8083 0.6167 0.7500 1
Al1 0.5000 0.0000 0.5000 1
Al2 0.5000 0.0000 0.0000 1
```